1.
NbNi3W | PBE | relaxed

Results
Magnetization (μB per atom): 0.000
E above lowest polymorph (meV per atom): 0
Space group: Pm-3m (221)
Energy relative to the elements (meV/atom): 1322

extended XYZ file:
```
5
Lattice="4.4146 0.0000 0.0000 0.0000 4.4146 0.0000 0.0000 0.0000 4.4146" Properties=species:S:1:pos:R:3 pbc="T T T"
Ni 2.2073 0.0000 0.0000
W 0.0000 0.0000 0.0000
Ni 0.0000 0.0000 2.2073
Nb 2.2073 2.2073 2.2073
Ni 0.0000 2.2073 0.0000
```

***

2.
YNbNi | PBE | relaxed

Results
Magnetization (μB per atom): 0.000
E above lowest polymorph (meV per atom): 44
Space group: Immm (71)
Energy relative to the elements (meV/atom): -157

extended XYZ file:
```
12
Lattice="-2.9854 1.0696 1.1123 -0.0678 -3.2461 2.9395 7.3570 9.4756 10.6338" Properties=species:S:1:pos:R:3 pbc="T T T"
Ni 1.2528 4.0709 4.5245
Y -0.2048 2.1936 2.4178
Ni 6.3901 6.6509 10.7550
Nb 0.0000 0.0000 0.0000
Y 4.5763 8.3516 9.3284
Nb 2.1519 3.6496 7.3428
Nb 3.6785 4.7378 5.3169
Y 4.9325 4.7736 8.6482
Y 2.3567 1.4559 4.9251
Nb -1.5266 -1.0883 2.0259
Ni 0.8991 -0.4214 2.8183
Ni 3.1188 6.4743 7.2217
```

***

3.
YNbNi3 | PBE | relaxed

Results
Magnetization (μB per atom): 0.508
E above lowest polymorph (meV per atom): 903
Space group: Pm-3m (221)
Energy relative to the elements (meV/atom): 1345

extended XYZ file:
```
5
Lattice="-2.0647 3.9426 1.0940 -1.8307 -1.9861 3.7024 3.6591 1.2310 2.4696" Properties=species:S:1:pos:R:3 pbc="T T T"
Ni 1.8296 0.6155 1.2348
Y 0.0000 0.0000 0.0000
Nb -0.1181 1.5938 3.6330
Ni -0.9153 -0.9930 1.8512
Ni -1.0324 1.9713 0.5470
```

***

4.
Y2Nb2Ni15 | PBE | relaxed

Results
Magnetization (μB per atom): 0.001
Space group: R-3m (166)
Energy relative to the elements (meV/atom): -246

extended XYZ file:
```
19
Lattice="6.3787 0.0184 0.0164 0.8458 6.3224 0.0164 0.8458 0.7424 6.2787" Properties=species:S:1:pos:R:3 pbc="T T T"
Nb 0.8172 0.7173 0.6391
Ni 2.5149 0.5240 4.3896
Ni 0.8458 2.4256 4.3896
Ni 2.5149 4.4208 0.0164
Ni 3.1894 0.0092 0.0082
Y 2.8170 2.4724 2.2031
Y 5.2534 4.6108 4.1085
Ni 0.4229 3.1612 0.0082
Ni 4.7097 1.9201 0.0164
Ni 5.9525 2.4539 2.1865
Ni 4.8650 1.4994 4.1250
Nb 7.2531 6.3659 5.6724
Ni 3.2054 2.8133 5.2958
Ni 2.1179 4.6293 4.1250
Ni 0.8458 4.6391 1.9055
Ni 4.8650 4.2699 1.0158
Ni 0.4229 0.3712 3.1393
Ni 4.7097 0.2368 1.9055
Ni 3.2054 5.5838 2.1865
```

***

5.
YNbNi4 | PBE | relaxed

Results
Magnetization (μB per atom): 0.022
Space group: F-43m (216)
Energy relative to the elements (meV/atom): -181

extended XYZ file:
```
6
Lattice="-4.5601 1.8269 -0.6232 -2.3837 -0.7002 -4.2835 -3.8876 -3.0607 -0.1985" Properties=species:S:1:pos:R:3 pbc="T T T"
Ni -4.8287 0.3153 -3.0889
Y 0.0000 0.0000 0.0000
Ni -4.4941 -2.1166 -2.8776
Nb -2.7079 -0.4835 -1.2763
Ni -5.5770 -0.8592 -1.0564
Ni -6.7630 -1.2076 -3.1877
```

***

6.
YNbNi2 | PBE | relaxed

Results
Magnetization (μB per atom): 0.000
Space group: I-42d (122)
Energy relative to the elements (meV/atom): 244

extended XYZ file:
```
8
Lattice="-0.7967 -7.0262 0.7557 1.5026 0.5747 6.9272 -2.4257 -2.8493 4.4129" Properties=species:S:1:pos:R:3 pbc="T T T"
Y -0.2851 -2.7502 7.5907
Ni -1.6073 -4.5765 5.9476
Ni -1.1489 -7.7619 10.2753
Y 0.3529 -3.2258 3.8414
Nb 0.0000 0.0000 0.0000
Nb -1.4347 -6.5506 4.5050
Ni -0.9445 -5.2785 2.4679
Ni 0.2611 -0.9848 5.5006
```

***

7.
YNbNi | PBE | relaxed

Results
Magnetization (μB per atom): 0.000
E above lowest polymorph (meV per atom): 222
Space group: P4/mmm (123)
Energy relative to the elements (meV/atom): 21

extended XYZ file:
```
6
Lattice="-0.2521 -3.0884 3.4328 1.0310 -0.0697 -3.1019 9.8779 2.7737 3.2209" Properties=species:S:1:pos:R:3 pbc="T T T"
Nb 1.6412 -0.2658 -0.1186
Nb 8.9408 1.7839 2.2616
Ni 0.2254 -2.1709 1.1784
Y 3.5660 -1.2341 2.2666
Ni 5.2909 0.7592 1.0716
Y 6.7638 -0.3361 3.3093
```

***

8.
YNbNi | PBE | relaxed

Results
Magnetization (μB per atom): 0.000
E above lowest polymorph (meV per atom): 121
Space group: C2/m (12)
Energy relative to the elements (meV/atom): -80

extended XYZ file:
```
12
Lattice="-1.7515 -0.4649 4.7481 3.8190 -1.4415 1.2677 4.0388 10.5880 -0.1277" Properties=species:S:1:pos:R:3 pbc="T T T"
Y 1.9564 6.4319 1.4199
Nb 2.8428 5.0468 4.3803
Ni 4.8659 7.5716 1.1565
Nb 3.3733 9.6496 0.8100
Y 0.3309 3.6912 3.2004
Y 4.2598 8.2644 3.7704
Ni 1.2404 1.1100 4.7315
Y 1.8465 0.4172 2.1176
Ni 0.9370 2.9983 0.5866
Nb -1.0861 0.4735 3.8103
Nb 3.2634 3.6349 1.5077
Ni 1.3503 7.1248 4.0338
```

***

9.
Y3NbNi | PBE | relaxed

Results
Magnetization (μB per atom): 0.000
E above lowest polymorph (meV per atom): 499
Space group: Pm-3m (221)
Energy relative to the elements (meV/atom): 889

extended XYZ file:
```
5
Lattice="5.3329 0.0000 0.0000 0.0000 5.3329 0.0000 0.0000 0.0000 5.3329" Properties=species:S:1:pos:R:3 pbc="T T T"
Y 0.0000 0.0000 2.6664
Ni 2.6664 2.6664 2.6664
Nb 0.0000 0.0000 0.0000
Y 2.6664 0.0000 0.0000
Y 0.0000 2.6664 0.0000
```

***

10.
YNb2Ni | PBE | relaxed

Results
Magnetization (μB per atom): 0.000
E above lowest polymorph (meV per atom): 353
Space group: I4_1/amd (141)
Energy relative to the elements (meV/atom): 807

extended XYZ file:
```
8
Lattice="4.7657 0.0000 0.0000 0.0000 4.7657 0.0000 2.3828 2.3828 8.8169" Properties=species:S:1:pos:R:3 pbc="T T T"
Nb 5.9571 4.7648 6.6127
Nb 2.3820 1.1914 2.2042
Ni 2.3828 4.7657 4.4085
Nb 2.3837 3.5742 2.2042
Y 4.7657 2.3828 4.4085
Nb 3.5742 4.7665 6.6127
Y 0.0000 0.0000 0.0000
Ni 2.3828 2.3828 0.0000
```

***

11.
YNbNi | PBE | relaxed

Results
Magnetization (μB per atom): 0.000
E above lowest polymorph (meV per atom): 144
Space group: Fmmm (69)
Energy relative to the elements (meV/atom): -57

extended XYZ file:
```
24
Lattice="8.8119 0.0000 0.0000 0.0000 9.8844 0.0000 0.0000 0.0000 5.1789" Properties=species:S:1:pos:R:3 pbc="T T T"
Ni 6.6089 2.4711 1.2947
Y 0.0000 1.5262 2.5895
Ni 2.2030 7.4133 3.8842
Y 4.4059 8.3582 0.0000
Nb 7.3781 4.9422 2.5895
Y 4.4059 3.4160 2.5895
Nb 5.8397 4.9422 0.0000
Y 0.0000 8.3582 2.5895
Ni 2.2030 2.4711 1.2947
Nb 2.9722 0.0000 2.5895
Nb 1.4338 4.9422 2.5895
Y 0.0000 6.4684 0.0000
Nb 1.4338 0.0000 0.0000
Nb 2.9722 4.9422 0.0000
Nb 5.8397 0.0000 2.5895
Nb 7.3781 0.0000 0.0000
Y 4.4059 6.4684 2.5895
Ni 2.2030 2.4711 3.8842
Ni 6.6089 2.4711 3.8842
Ni 6.6089 7.4133 3.8842
Y 4.4059 1.5262 0.0000
Ni 6.6089 7.4133 1.2947
Ni 2.2030 7.4133 1.2947
Y 0.0000 3.4160 0.0000
```

***

12.
YNbNi | PBE | relaxed

Results
Magnetization (μB per atom): 0.000
E above lowest polymorph (meV per atom): 0
Space group: Pmmn (59)
Energy relative to the elements (meV/atom): -201

extended XYZ file:
```
6
Lattice="3.3946 0.0000 0.0000 0.0000 7.9870 0.0000 0.0000 0.0000 4.3594" Properties=species:S:1:pos:R:3 pbc="T T T"
Ni 1.6973 6.0772 0.0000
Y 1.6973 1.2064 0.0000
Nb 1.6973 3.8497 2.1797
Nb 0.0000 4.1373 0.0000
Y 0.0000 6.7806 2.1797
Ni 0.0000 1.9097 2.1797
```

***

13.
YNb2Ni2 | PBE | relaxed

Results
Magnetization (μB per atom): 0.000
E above lowest polymorph (meV per atom): 230
Space group: I4/mmm (139)
Energy relative to the elements (meV/atom): 143

extended XYZ file:
```
5
Lattice="4.5441 0.0000 0.0000 0.0000 4.5441 0.0000 2.2720 2.2720 4.6588" Properties=species:S:1:pos:R:3 pbc="T T T"
Y 0.0000 0.0000 0.0000
Nb 4.5441 4.5441 3.2853
Nb 2.2720 2.2720 1.3735
Ni 4.5441 2.2720 2.3294
Ni 2.2720 4.5441 2.3294
```

***

14.
YNb2Ni2 | PBE | relaxed

Results
Magnetization (μB per atom): 0.000
E above lowest polymorph (meV per atom): 0
Space group: I4/mmm (139)
Energy relative to the elements (meV/atom): -87

extended XYZ file:
```
5
Lattice="3.9978 0.0000 0.0000 0.0000 3.9978 0.0000 1.9989 1.9989 5.6887" Properties=species:S:1:pos:R:3 pbc="T T T"
Ni 1.9989 1.9989 1.1578
Nb 3.9978 1.9989 2.8443
Y 0.0000 0.0000 0.0000
Nb 1.9989 3.9978 2.8443
Ni 3.9978 3.9978 4.5309
```

***

15.
YNb2Ni2 | PBE | relaxed

Results
Magnetization (μB per atom): 0.000
E above lowest polymorph (meV per atom): 100
Space group: P4/mbm (127)
Energy relative to the elements (meV/atom): 13

extended XYZ file:
```
10
Lattice="7.4167 0.0000 0.0000 0.0000 7.4167 0.0000 0.0000 0.0000 3.1268" Properties=species:S:1:pos:R:3 pbc="T T T"
Ni 6.5304 4.5947 0.0000
Ni 0.8863 2.8221 0.0000
Nb 4.9418 6.1833 1.5634
Y 0.0000 0.0000 0.0000
Nb 2.4749 1.2335 1.5634
Y 3.7084 3.7084 0.0000
Ni 4.5947 0.8863 0.0000
Nb 6.1833 2.4749 1.5634
Nb 1.2335 4.9418 1.5634
Ni 2.8221 6.5304 0.0000
```

***

16.
Y2Nb2Ni | PBE | relaxed

Results
Magnetization (μB per atom): 0.000
Space group: P4/mbm (127)
Energy relative to the elements (meV/atom): 234

extended XYZ file:
```
10
Lattice="-0.8403 -6.3604 -1.7781 0.9903 -1.8935 6.3052 -4.8836 0.3974 0.8864" Properties=species:S:1:pos:R:3 pbc="T T T"
Y -2.1814 -5.6308 4.4917
Y -2.8123 -5.7118 1.0517
Nb 0.5489 -3.9014 4.7732
Y -2.5522 -2.2257 0.9219
Nb -0.3989 -4.3524 -0.2461
Nb -0.0852 -6.6727 2.5226
Nb 0.2352 -1.5812 2.0046
Ni 0.0000 0.0000 0.0000
Ni 0.0750 -4.1269 2.2636
Y -1.9212 -2.1446 4.3618
```

***

17.
YNbNi | PBE | relaxed

Results
Magnetization (μB per atom): 0.000
E above lowest polymorph (meV per atom): 179
Space group: I4mm (107)
Energy relative to the elements (meV/atom): -22

extended XYZ file:
```
6
Lattice="3.2239 0.0000 0.0000 0.0000 3.2239 0.0000 0.0000 0.0000 11.2984" Properties=species:S:1:pos:R:3 pbc="T T T"
Y 0.0000 0.0000 3.9224
Ni 1.6119 1.6119 1.7427
Ni 0.0000 0.0000 7.3919
Y 1.6119 1.6119 9.5716
Nb 0.0000 0.0000 0.5523
Nb 1.6119 1.6119 6.2015
```

***

18.
YNbNi | PBE | relaxed

Results
Magnetization (μB per atom): 0.000
E above lowest polymorph (meV per atom): 83
Space group: Cmcm (63)
Energy relative to the elements (meV/atom): -118

extended XYZ file:
```
12
Lattice="3.4944 0.0000 0.0000 0.0000 11.4178 0.0000 0.0000 0.0000 6.0424" Properties=species:S:1:pos:R:3 pbc="T T T"
Ni 1.7472 10.3505 4.5318
Y 1.7472 9.0682 1.5106
Y 1.7472 2.3496 4.5318
Y 0.0000 8.0585 4.5318
Ni 1.7472 1.0674 1.5106
Y 0.0000 3.3593 1.5106
Nb 0.0000 0.0000 0.0000
Nb 1.7472 5.7089 3.0212
Ni 0.0000 6.7763 1.5106
Nb 1.7472 5.7089 0.0000
Ni 0.0000 4.6416 4.5318
Nb 0.0000 0.0000 3.0212
```

***

19.
YNbNi | PBE | relaxed

Results
Magnetization (μB per atom): 0.000
E above lowest polymorph (meV per atom): 153
Space group: C2/m (12)
Energy relative to the elements (meV/atom): -48

extended XYZ file:
```
12
Lattice="5.5919 0.0000 0.0322 0.0000 4.3360 0.0000 -3.1723 0.0000 10.0425" Properties=species:S:1:pos:R:3 pbc="T T T"
Y 1.2098 0.0000 5.0374
Y 0.0000 0.0000 0.0000
Ni -0.2515 0.0000 2.8367
Nb 2.8290 0.0000 2.3096
Nb 1.2428 2.1680 7.3309
Nb -0.4093 0.0000 7.7651
Ni 2.6711 0.0000 7.2380
Y 2.7959 2.1680 0.0161
Y -1.5861 2.1680 5.0213
Ni -1.8376 2.1680 7.8580
Nb 1.1768 2.1680 2.7439
Ni 4.2572 2.1680 2.2168
```

***

20.
YNbNi | PBE | relaxed

Results
Magnetization (μB per atom): 0.000
E above lowest polymorph (meV per atom): 72
Space group: P2_1/m (11)
Energy relative to the elements (meV/atom): -129

extended XYZ file:
```
6
Lattice="-2.8707 -4.3914 -0.5269 1.7019 -1.5351 3.5219 -3.2241 3.4150 3.0465" Properties=species:S:1:pos:R:3 pbc="T T T"
Y -2.1776 1.9078 3.1372
Ni -4.2824 0.1466 3.3866
Y -2.2154 -4.4193 2.9043
Nb -2.3985 -1.2982 4.3531
Nb -1.9945 -1.2132 1.6883
Ni -0.1105 -2.6580 2.6548
```

***

21.
YNb2Ni2 | PBE | relaxed

Results
Magnetization (μB per atom): 0.000
E above lowest polymorph (meV per atom): 144
Space group: P4/mbm (127)
Energy relative to the elements (meV/atom): 57

extended XYZ file:
```
10
Lattice="7.8381 0.0000 0.0000 0.0000 7.8381 0.0000 0.0000 0.0000 2.7849" Properties=species:S:1:pos:R:3 pbc="T T T"
Y 0.0000 0.0000 0.0000
Ni 5.2816 6.4755 1.3924
Nb 2.9562 6.8752 0.0000
Ni 2.5565 1.3626 1.3924
Ni 1.3626 5.2816 1.3924
Ni 6.4755 2.5565 1.3924
Nb 4.8819 0.9629 0.0000
Nb 6.8752 4.8819 0.0000
Nb 0.9629 2.9562 0.0000
Y 3.9190 3.9190 0.0000
```

***

22.
YNbNi2 | PBE | relaxed

Results
Magnetization (μB per atom): 0.000
Space group: P4/mmm (123)
Energy relative to the elements (meV/atom): -187

extended XYZ file:
```
4
Lattice="3.2169 0.0000 0.0000 0.0000 3.2169 0.0000 0.0000 0.0000 6.6326" Properties=species:S:1:pos:R:3 pbc="T T T"
Ni 0.0000 0.0000 5.3282
Ni 0.0000 0.0000 1.3044
Nb 1.6084 1.6084 0.0000
Y 1.6084 1.6084 3.3163
```

***

23.
YNb2Ni | PBE | relaxed

Results
Magnetization (μB per atom): 0.000
E above lowest polymorph (meV per atom): 0
Space group: Fm-3m (225)
Energy relative to the elements (meV/atom): 454

extended XYZ file:
```
4
Lattice="-0.0562 -3.3258 -3.2822 -1.3076 -4.3488 1.1024 -4.0741 -1.6798 -1.5547" Properties=species:S:1:pos:R:3 pbc="T T T"
Nb -1.3595 -2.3386 -0.9336
Ni 0.0000 0.0000 0.0000
Y -2.7190 -4.6772 -1.8672
Nb -4.0784 -7.0158 -2.8009
```

***

24.
YNb2Ni9 | PBE | relaxed

Results
Magnetization (μB per atom): 0.000
Space group: R-3m (166)
Energy relative to the elements (meV/atom): -270

extended XYZ file:
```
12
Lattice="4.6286 0.0000 1.3775 2.1093 4.1200 1.3775 0.0340 0.0208 8.3507" Properties=species:S:1:pos:R:3 pbc="T T T"
Ni 3.8490 3.7886 3.9971
Ni 2.7794 1.6995 3.2986
Ni 5.1264 1.6995 3.9971
Ni 4.4900 2.7455 1.8431
Nb 0.9763 0.5970 5.1845
Nb 5.7956 3.5438 5.9212
Y 0.0000 0.0000 0.0000
Ni 2.2819 1.3953 9.2626
Ni 3.9925 2.4413 7.8071
Ni 2.9229 0.3522 7.1086
Ni 1.6455 2.4413 7.1086
Ni 3.3859 2.0704 5.5529
```